1.
An optimized crystal structure of Ta2V3Ru. Source: the Alexandria database, functional PBE. Values from VASP.

Summary:
Calculated formation energy (eV per atom): -0.27
Space-group type: R-3m
Final energy (eV per atom): -10.33
Magnetization (μB per cell): 0.00

Quantum ESPRESSO input file:
```
&SYSTEM
  ibrav = 0, nat = 6, ntyp = 3
/
ATOMIC_SPECIES
Ta 180.95 Ta.upf
V 50.94 V.upf
Ru 101.07 Ru.upf
CELL_PARAMETERS angstrom
-1.106 -2.661 -4.162
-1.719 -1.529 4.509
-2.100 4.539 0.733
ATOMIC_POSITIONS angstrom
Ta -1.729 -2.007 -1.337
Ta -3.196 2.356 2.417
V -1.603 0.939 -1.715
V -1.050 2.269 0.366
V -2.463 0.174 0.540
Ru 0.000 0.000 0.000
```


2.
An optimized crystal structure of Mg4ScSe5. Source: the Alexandria database, functional PBE. Values from VASP.

Summary:
Formation energy from raw total energies (eV/atom): -1.29
Space-group type: I4/mmm
Final energy (eV per atom): -4.30
Magnetization (μB per cell): 0.00

Quantum ESPRESSO input file:
```
&SYSTEM
  ibrav = 0, nat = 10, ntyp = 3
/
ATOMIC_SPECIES
Mg 24.30 Mg.upf
Se 78.96 Se.upf
Sc 44.96 Sc.upf
CELL_PARAMETERS angstrom
3.846 0.000 -0.542
-0.076 3.845 -0.542
0.041 0.042 14.206
ATOMIC_POSITIONS angstrom
Mg 3.038 3.099 7.641
Mg 2.275 2.321 2.227
Mg 1.535 1.566 10.894
Mg 0.772 0.788 5.481
Se 2.655 2.709 4.926
Se 0.384 0.392 2.728
Se 1.885 1.923 -0.542
Se 3.426 3.495 10.394
Se 1.155 1.178 8.195
Sc 0.000 0.000 0.000
```


3.
An optimized crystal structure of LiCaCuIr. Source: the Alexandria database, functional PBE. Values from VASP.

Summary:
Calculated formation energy (eV per atom): -0.05
Space-group type: F-43m
Final energy (eV per atom): -4.27
Magnetization (μB per cell): 0.00

Quantum ESPRESSO input file:
```
&SYSTEM
  ibrav = 0, nat = 4, ntyp = 4
/
ATOMIC_SPECIES
Li 6.94 Li.upf
Ca 40.08 Ca.upf
Cu 63.55 Cu.upf
Ir 192.22 Ir.upf
CELL_PARAMETERS angstrom
-2.386 3.138 2.201
-4.028 1.292 -1.578
-3.766 -1.161 2.203
ATOMIC_POSITIONS angstrom
Li -7.636 2.452 2.119
Ca 0.000 0.000 0.000
Cu -2.545 0.817 0.706
Ir -5.090 1.635 1.413
```


4.
An optimized crystal structure of NaLaPb2Cl8. Source: the Alexandria database, functional PBE. Values from VASP.

Summary:
Formation energy from raw total energies (eV/atom): -1.66
Space-group type: P2/m
Final energy (eV per atom): -4.03
Magnetization (μB per cell): 0.00

Quantum ESPRESSO input file:
```
&SYSTEM
  ibrav = 0, nat = 12, ntyp = 4
/
ATOMIC_SPECIES
Cl 35.45 Cl.upf
Pb 207.20 Pb.upf
La 138.91 La.upf
Na 22.99 Na.upf
CELL_PARAMETERS angstrom
-5.755 3.568 -0.688
-2.458 -4.624 -4.000
-3.409 -4.166 6.911
ATOMIC_POSITIONS angstrom
Cl -5.421 -6.175 2.010
Cl -4.279 -2.174 2.131
Cl -3.669 -4.033 -1.543
Cl -7.954 -1.190 3.766
Cl -5.700 -1.026 -3.430
Cl -7.344 -3.049 0.091
Cl -5.923 -4.197 5.653
Cl -6.202 0.952 0.213
Pb -4.998 -1.617 -0.538
Pb -6.625 -3.606 2.761
La 0.000 0.000 0.000
Na -1.704 -2.083 3.456
```


5.
An optimized crystal structure of Pr5ZrSb4. Source: the Alexandria database, functional PBE. Values from VASP.

Summary:
Formation energy from raw total energies (eV/atom): -0.70
Space-group type: C2/m
Final energy (eV per atom): -5.60
Magnetization (μB per cell): 0.00

Quantum ESPRESSO input file:
```
&SYSTEM
  ibrav = 0, nat = 10, ntyp = 3
/
ATOMIC_SPECIES
Pr 140.91 Pr.upf
Sb 121.76 Sb.upf
Zr 91.22 Zr.upf
CELL_PARAMETERS angstrom
-3.022 -2.750 -1.474
0.114 -4.155 7.518
-5.137 8.108 1.806
ATOMIC_POSITIONS angstrom
Pr -1.454 -3.452 3.022
Pr -2.243 0.853 3.008
Pr -5.907 2.364 1.302
Pr -5.802 0.351 4.843
Pr -2.139 -1.159 6.548
Sb -3.648 0.454 0.233
Sb -8.036 2.150 6.065
Sb -4.397 0.750 7.618
Sb -0.010 -0.946 1.785
Zr -1.511 -1.375 -0.737
```


6.
An optimized crystal structure of YMg9Au2. Source: the Alexandria database, functional PBE. Values from VASP.

Summary:
Calculated formation energy (eV per atom): -0.26
Space-group type: I4_1/amd
Final energy (eV per atom): -2.55
Magnetization (μB per cell): 0.00

Quantum ESPRESSO input file:
```
&SYSTEM
  ibrav = 0, nat = 24, ntyp = 3
/
ATOMIC_SPECIES
Mg 24.30 Mg.upf
Au 196.97 Au.upf
Y 88.91 Y.upf
CELL_PARAMETERS angstrom
6.815 0.000 3.138
3.408 8.375 1.569
-0.095 0.000 9.177
ATOMIC_POSITIONS angstrom
Mg 6.768 4.188 7.726
Mg 5.234 2.676 3.113
Mg 4.334 3.549 9.551
Mg 2.386 3.549 2.763
Mg 1.487 2.676 9.202
Mg 6.963 4.826 10.762
Mg 2.265 5.700 9.560
Mg 3.603 7.737 4.604
Mg 4.455 5.700 2.754
Mg 7.815 6.863 8.911
Mg 6.572 4.826 4.690
Mg 4.382 0.639 4.963
Mg 5.720 6.863 6.541
Mg 5.186 1.512 7.701
Mg 3.117 7.737 7.710
Mg 0.000 0.000 0.000
Mg 2.339 0.639 7.351
Mg 1.534 1.512 4.613
Au 5.040 6.281 9.236
Au 6.791 2.094 5.432
Au 6.744 2.094 10.020
Au 8.495 6.281 6.216
Y 3.360 4.188 6.157
Y 3.408 0.000 1.569
```


7.
An optimized crystal structure of Rb2Ag2H. Source: the Alexandria database, functional PBE. Values from VASP.

Summary:
Space-group type: I4/mmm
Final energy (eV per atom): -2.15
Magnetization (μB per cell): 0.00

Quantum ESPRESSO input file:
```
&SYSTEM
  ibrav = 0, nat = 5, ntyp = 3
/
ATOMIC_SPECIES
Ag 107.87 Ag.upf
Rb 85.47 Rb.upf
H 1.01 H.upf
CELL_PARAMETERS angstrom
3.888 0.000 0.000
0.000 3.888 0.000
1.944 1.944 9.710
ATOMIC_POSITIONS angstrom
Ag 3.888 1.944 4.855
Ag 1.944 3.888 4.855
Rb 1.944 1.944 1.787
Rb 3.888 3.888 7.924
H 0.000 0.000 0.000
```


8.
An optimized crystal structure of Mg4TlAg2. Source: the Alexandria database, functional PBE. Values from VASP.

Summary:
Calculated formation energy (eV per atom): -0.08
Space-group type: R-3m
Final energy (eV per atom): -2.15
Magnetization (μB per cell): 0.00

Quantum ESPRESSO input file:
```
&SYSTEM
  ibrav = 0, nat = 7, ntyp = 3
/
ATOMIC_SPECIES
Tl 204.38 Tl.upf
Mg 24.30 Mg.upf
Ag 107.87 Ag.upf
CELL_PARAMETERS angstrom
-2.125 3.244 2.762
-4.669 0.816 -0.447
-3.748 -4.191 6.143
ATOMIC_POSITIONS angstrom
Tl 0.000 0.000 0.000
Mg -3.160 -1.995 4.015
Mg -5.761 -1.898 6.004
Mg -4.781 1.767 2.453
Mg -7.382 1.863 4.442
Ag -7.904 -0.087 6.331
Ag -2.639 -0.045 2.125
```


9.
An optimized crystal structure of SiMo2Rh. Source: the Alexandria database, functional PBE. Values from VASP.

Summary:
Formation energy from raw total energies (eV/atom): -0.15
Space-group type: I-4m2
Final energy (eV per atom): -8.76
Magnetization (μB per cell): 0.00

Quantum ESPRESSO input file:
```
&SYSTEM
  ibrav = 0, nat = 4, ntyp = 3
/
ATOMIC_SPECIES
Rh 102.91 Rh.upf
Mo 95.94 Mo.upf
Si 28.09 Si.upf
CELL_PARAMETERS angstrom
4.845 0.015 0.000
1.824 4.488 0.000
-3.335 -2.252 2.699
ATOMIC_POSITIONS angstrom
Rh 3.335 2.252 0.000
Mo 0.912 2.244 1.349
Mo 0.000 0.000 0.000
Si 2.422 0.007 1.349
```


10.
An optimized crystal structure of CdCo2Se. Source: the Alexandria database, functional PBE. Values from VASP.

Summary:
Formation energy from raw total energies (eV/atom): 0.27
Space-group type: R-3m
Final energy (eV per atom): -4.38
Magnetization (μB per cell): 0.00

Quantum ESPRESSO input file:
```
&SYSTEM
  ibrav = 0, nat = 4, ntyp = 3
/
ATOMIC_SPECIES
Se 78.96 Se.upf
Co 58.93 Co.upf
Cd 112.41 Cd.upf
CELL_PARAMETERS angstrom
7.705 0.020 0.012
7.098 2.997 0.012
7.098 1.447 2.624
ATOMIC_POSITIONS angstrom
Se 5.475 1.116 0.662
Co 11.237 2.290 1.359
Co 21.613 4.405 2.614
Cd 16.425 3.348 1.986
```